(1)
! CsCa2DyBr8 (GGA-PBE, relaxed); values from VASP
! * V: 37.780 Å³ per atom
! * calculated total energy: -3.787 eV/atom
! * M_tot: 0.00 μB/f.u.
! * space group: No. 2
&SYSTEM
  ibrav = 0, nat = 12, ntyp = 4
/
ATOMIC_SPECIES
Cs 132.91 Cs.upf
Ca 40.08 Ca.upf
Dy 162.50 Dy.upf
Br 79.90 Br.upf
ATOMIC_POSITIONS crystal
Cs 0.000 0.000 0.000
Ca 0.500 0.500 0.248
Ca 0.500 0.500 0.752
Dy 0.000 0.000 0.500
Br 0.246 0.831 0.703
Br 0.247 0.832 0.297
Br 0.257 0.324 0.500
Br 0.269 0.400 0.000
Br 0.731 0.600 0.000
Br 0.743 0.676 0.500
Br 0.753 0.168 0.703
Br 0.754 0.169 0.297
CELL_PARAMETERS angstrom
6.829 0.000 0.000
0.136 7.089 0.000
0.017 0.011 9.365



(2)
! MgVTc2B (GGA-PBE, relaxed); values from VASP
! * formation enthalpy at 0 K: 2.0070 eV per atom
! * V: 15.323 Å³ per atom
! * M_tot: 0.00 μB/f.u.
! * space group: No. 123
&SYSTEM
  ibrav = 0, nat = 5, ntyp = 4
/
ATOMIC_SPECIES
Mg 24.30 Mg.upf
V 50.94 V.upf
Tc 98.00 Tc.upf
B 10.81 B.upf
ATOMIC_POSITIONS crystal
Mg 0.000 0.000 0.000
V 0.500 0.500 0.500
Tc 0.000 0.500 0.000
Tc 0.500 0.000 0.000
B 0.000 0.000 0.500
CELL_PARAMETERS angstrom
4.507 0.000 0.000
0.000 4.507 0.000
0.000 0.000 3.772



(3)
! SrCuOs2 (GGA-PBE, relaxed); values from VASP
! * formation enthalpy at 0 K: 0.6522 eV per atom
! * V: 20.950 Å³ per atom
! * polymorph energy (0 for the lowest one): 1.983 eV/f.u.
! * M_tot: 0.00 μB/f.u.
! * space group: No. 10
&SYSTEM
  ibrav = 0, nat = 4, ntyp = 3
/
ATOMIC_SPECIES
Sr 87.62 Sr.upf
Cu 63.55 Cu.upf
Os 190.23 Os.upf
ATOMIC_POSITIONS crystal
Sr 0.000 0.000 0.000
Cu 0.500 0.000 0.500
Os 0.284 0.500 0.625
Os 0.716 0.500 0.375
CELL_PARAMETERS angstrom
4.286 0.000 0.000
0.000 4.481 0.000
-1.215 0.000 4.363